Record 1
Pr2MnSb4 | PBE | optimized geometry

Unit cell a=4.4697 b=4.4697 c=9.9627 alpha=90.00 beta=90.00 gamma=90.00
Last column: nearest neighbours and their distance in Å.
Fractional coordinates of all 7 atoms:
1 Sb 0.0000 0.0000 0.5000  4 Sb 3.16, 4 Pr 3.36
2 Sb 0.5000 0.0000 0.1394  2 Mn 2.63
3 Pr 0.5000 0.0000 0.7525  2 Mn 3.33, 8 Sb 3.34-3.36
4 Sb 0.5000 0.5000 0.5000  4 Sb 3.16, 4 Pr 3.36
5 Sb 0.0000 0.5000 0.8606  2 Mn 2.63
6 Pr 0.0000 0.5000 0.2475  2 Mn 3.33, 8 Sb 3.34-3.36
7 Mn 0.5000 0.5000 0.0000  4 Sb 2.63

Properties
Formation energy (no corrections) = -4.60 eV per formula unit
Electronic total energy = -5.69 eV per atom
Symmetry = No. 115
Magnetic moment = 4.3 μB per cell


Record 2
Ca2AcDyIn4 | PBE | optimized geometry

Unit cell a=5.5026 b=5.5026 c=9.6340 alpha=73.41 beta=73.41 gamma=60.00
Last column: nearest neighbours and their distance in Å.
Fractional coordinates of all 8 atoms:
1 Ac 0.0000 0.0000 0.0000  8 In 3.44-3.50
2 Ca 0.7514 0.7514 0.7459  8 In 3.28-3.62
3 In 0.6188 0.6188 0.1436  1 Dy 3.24, 4 Ca 3.33-3.62, 3 Ac 3.44
4 In 0.1284 0.1284 0.6147  4 Ca 3.28-3.39, 3 Dy 3.34, 1 Ac 3.50
5 In 0.3812 0.3812 0.8564  1 Dy 3.24, 4 Ca 3.33-3.62, 3 Ac 3.44
6 Ca 0.2486 0.2486 0.2541  8 In 3.28-3.62
7 Dy 0.5000 0.5000 0.5000  8 In 3.24-3.34
8 In 0.8716 0.8716 0.3853  4 Ca 3.28-3.39, 3 Dy 3.34, 1 Ac 3.50

Properties
Formation enthalpy at 0 K = -0.43 eV/atom
Electronic total energy = -3.39 eV per atom
Symmetry = No. 166
Magnetic moment = 0.0 μB per cell


Record 3
Li2CdAgAu2 | PBE | optimized geometry

Unit cell a=4.5415 b=4.5415 c=5.7340 alpha=90.00 beta=90.00 gamma=120.00
Last column: nearest neighbours and their distance in Å.
Fractional coordinates of all 6 atoms:
1 Au 0.3333 0.6667 0.2318  4 Li 2.64-2.74, 3 Cd 2.94
2 Au 0.6667 0.3333 0.7682  4 Li 2.64-2.74, 3 Cd 2.94
3 Li 0.6667 0.3333 0.2903  4 Au 2.64-2.74, 3 Ag 2.88
4 Ag 0.0000 0.0000 0.5000  2 Cd 2.87, 6 Li 2.88, 6 Au 3.04
5 Cd 0.0000 0.0000 0.0000  2 Ag 2.87, 6 Au 2.94, 6 Li 3.11
6 Li 0.3333 0.6667 0.7097  4 Au 2.64-2.74, 3 Ag 2.88

Properties
Formation enthalpy at 0 K = -0.38 eV/atom
Electronic total energy = -2.73 eV per atom
Symmetry = No. 164
Magnetic moment = 0.0 μB per cell


Record 4
TbHo3Tm2Te6 | PBE | optimized geometry

Unit cell a=4.3077 b=8.7015 c=9.6864 alpha=103.13 beta=102.85 gamma=90.00
Last column: nearest neighbours and their distance in Å.
Fractional coordinates of all 12 atoms:
1 Ho 0.8368 0.1677 0.6736  6 Te 3.02-3.09
2 Te 0.3309 0.9142 0.6618  2 Tm 3.04, 3 Ho 3.07-3.08, 1 Tb 3.11
3 Ho 0.5000 0.5000 0.0000  6 Te 3.05-3.10
4 Te 0.6685 0.5809 0.3370  3 Tm 3.06-3.07, 3 Ho 3.09-3.10
5 Te 0.9986 0.7469 0.9971  1 Tm 3.00, 3 Ho 3.02-3.05, 2 Tb 3.08
6 Tb 0.5000 0.0000 0.0000  6 Te 3.08-3.11
7 Tm 0.8355 0.6706 0.6709  6 Te 3.00-3.07
8 Ho 0.1632 0.8323 0.3264  6 Te 3.02-3.09
9 Te 0.3315 0.4191 0.6630  3 Tm 3.06-3.07, 3 Ho 3.09-3.10
10 Te 0.6691 0.0858 0.3382  2 Tm 3.04, 3 Ho 3.07-3.08, 1 Tb 3.11
11 Tm 0.1645 0.3294 0.3291  6 Te 3.00-3.07
12 Te 0.0014 0.2531 0.0029  1 Tm 3.00, 3 Ho 3.02-3.05, 2 Tb 3.08

Properties
Formation energy (no corrections) = -14.76 eV per formula unit
Electronic total energy = -5.08 eV per atom
Symmetry = No. 12
Magnetic moment = 0.0 μB per cell


Record 5
Zr6TaRh5 | PBE | optimized geometry

Unit cell a=4.6593 b=6.7130 c=7.3886 alpha=90.00 beta=108.44 gamma=90.00
Last column: nearest neighbours and their distance in Å.
Fractional coordinates of all 12 atoms:
1 Zr 0.5000 0.2525 0.0000  6 Rh 2.86-2.92, 2 Ta 2.88
2 Rh 0.3309 0.0000 0.6611  8 Zr 2.84-2.92
3 Ta 0.0000 0.0000 0.0000  8 Zr 2.88
4 Rh 0.6691 0.0000 0.3389  8 Zr 2.84-2.92
5 Rh 0.3325 0.5000 0.6655  8 Zr 2.86-2.87
6 Zr 0.1670 0.7492 0.3342  7 Rh 2.84-2.88, 1 Ta 2.88
7 Zr 0.8330 0.7492 0.6658  7 Rh 2.84-2.88, 1 Ta 2.88
8 Zr 0.1670 0.2508 0.3342  7 Rh 2.84-2.88, 1 Ta 2.88
9 Zr 0.8330 0.2508 0.6658  7 Rh 2.84-2.88, 1 Ta 2.88
10 Zr 0.5000 0.7475 0.0000  6 Rh 2.86-2.92, 2 Ta 2.88
11 Rh 0.6675 0.5000 0.3345  8 Zr 2.86-2.87
12 Rh 0.0000 0.5000 0.0000  8 Zr 2.86-2.88

Properties
Formation enthalpy at 0 K = -0.62 eV/atom
Electronic total energy = -8.95 eV per atom
Symmetry = No. 10
Magnetic moment = 0.0 μB per cell


Record 6
BeCdNi3 | PBE | optimized geometry

Unit cell a=3.9845 b=3.9845 c=3.9845 alpha=90.00 beta=90.00 gamma=90.00
Last column: nearest neighbours and their distance in Å.
Fractional coordinates of all 5 atoms:
1 Ni 0.5000 0.0000 0.0000  2 Be 1.99
2 Ni 0.0000 0.5000 0.0000  2 Be 1.99
3 Ni 0.0000 0.0000 0.5000  2 Be 1.99
4 Be 0.0000 0.0000 0.0000  6 Ni 1.99
5 Cd 0.5000 0.5000 0.5000  12 Ni 2.82

Properties
Formation enthalpy at 0 K = 0.15 eV/atom
Electronic total energy = -4.25 eV per atom
Symmetry = No. 221
Magnetic moment = 0.0 μB per cell
Energy relative to the lowest polymorph listed for this composition = 0.00 eV/f.u.